Density functional theory data (PBE-GGA) for a relaxed GeB3N crystal.

Unit cell a=4.038 b=4.038 c=4.038 alpha=90.00 beta=90.00 gamma=90.00
Space group Pm-3m (No. 221)
Unique sites:
Ge: 0.000 0.000 0.000 x1
B: 0.000 0.000 0.500 x3
N: 0.500 0.500 0.500 x1

Summary:
For the excess energy over the best structure of this formula in the dataset, the calculation gives 1013 meV per atom. Its volume is 13.2 Å³/atom.

Density functional theory data (PBE-GGA) for a relaxed GeB3N3 crystal.

Unit cell a=4.735 b=4.735 c=4.735 alpha=90.00 beta=90.00 gamma=90.00
Space group Pm-3n (No. 223)
Unique sites:
Ge: 0.000 0.000 0.000 x2
B: 0.000 0.250 0.500 x6
N: 0.000 0.500 0.250 x6

Summary:
Its volume is 7.6 Å³/atom.

Density functional theory data (PBE-GGA) for a relaxed GeB2N crystal.

Unit cell a=5.379 b=5.379 c=5.379 alpha=90.00 beta=90.00 gamma=90.00
Space group Fm-3m (No. 225)
Unique sites:
Ge: 0.000 0.000 0.000 x4
B: 0.250 0.250 0.250 x8
N: 0.000 0.000 0.500 x4

Summary:
For the excess energy over the best structure of this formula in the dataset, the calculation gives 2008 meV per atom. Its volume is 9.7 Å³/atom.

Density functional theory data (PBE-GGA) for a relaxed GeBN3 crystal.

Unit cell a=3.412 b=3.412 c=3.412 alpha=90.00 beta=90.00 gamma=90.00
Space group Pm-3m (No. 221)
Unique sites:
Ge: 0.000 0.000 0.000 x1
B: 0.500 0.500 0.500 x1
N: 0.000 0.500 0.500 x3

Summary:
Its volume is 7.9 Å³/atom.

Density functional theory data (PBE-GGA) for a relaxed GeB3N crystal.

Unit cell a=3.562 b=3.562 c=3.562 alpha=90.00 beta=90.00 gamma=90.00
Space group Pm-3m (No. 221)
Unique sites:
Ge: 0.000 0.000 0.000 x1
B: 0.000 0.500 0.500 x3
N: 0.500 0.500 0.500 x1

Summary:
For the excess energy over the best structure of this formula in the dataset, the calculation gives 0 meV per atom. Its volume is 9.0 Å³/atom.

Density functional theory data (PBE-GGA) for a relaxed Ge3BN crystal.

Unit cell a=4.278 b=4.278 c=4.278 alpha=90.00 beta=90.00 gamma=90.00
Space group Pm-3m (No. 221)
Unique sites:
Ge: 0.000 0.000 0.500 x3
B: 0.500 0.500 0.500 x1
N: 0.000 0.000 0.000 x1

Summary:
For the excess energy over the best structure of this formula in the dataset, the calculation gives 0 meV per atom. Its volume is 15.7 Å³/atom.

Density functional theory data (PBE-GGA) for a relaxed GeB2N crystal.

Unit cell a=4.325 b=4.325 c=8.167 alpha=90.00 beta=90.00 gamma=90.00
Space group I-42d (No. 122)
Unique sites:
Ge: 0.000 0.000 0.000 x4
B: 0.160 0.250 0.625 x8
N: 0.000 0.000 0.500 x4

Summary:
For the excess energy over the best structure of this formula in the dataset, the calculation gives 0 meV per atom. Its volume is 9.5 Å³/atom.

Density functional theory data (PBE-GGA) for a relaxed GeBN3 crystal.

Unit cell a=3.803 b=3.803 c=3.803 alpha=90.00 beta=90.00 gamma=90.00
Space group Pm-3m (No. 221)
Unique sites:
Ge: 0.000 0.000 0.000 x1
B: 0.500 0.500 0.500 x1
N: 0.000 0.000 0.500 x3

Summary:
Its volume is 11.0 Å³/atom.

Density functional theory data (PBE-GGA) for a relaxed NiGe2BN crystal.

Unit cell a=4.952 b=4.952 c=2.696 alpha=90.00 beta=90.00 gamma=90.00
Space group P4/mmm (No. 123)
Unique sites:
Ni: 0.000 0.000 0.000 x1
Ge: 0.000 0.500 0.500 x2
B: 0.500 0.500 0.000 x1
N: 0.500 0.500 0.500 x1

Summary:
Its volume is 13.2 Å³/atom.

Density functional theory data (PBE-GGA) for a relaxed GeBNO2 crystal.

Unit cell a=2.985 b=2.985 c=5.887 alpha=90.00 beta=90.00 gamma=90.00
Space group P4/mmm (No. 123)
Unique sites:
Ge: 0.000 0.000 0.000 x1
B: 0.500 0.500 0.500 x1
N: 0.500 0.500 0.000 x1
O: 0.000 0.500 0.500 x2

Summary:
Its volume is 10.5 Å³/atom.

Density functional theory data (PBE-GGA) for a relaxed GeBNO2 crystal.

Unit cell a=3.409 b=3.409 c=6.908 alpha=90.00 beta=90.00 gamma=90.00
Space group P4/mmm (No. 123)
Unique sites:
Ge: 0.000 0.000 0.000 x1
B: 0.000 0.000 0.500 x1
N: 0.500 0.500 0.500 x1
O: 0.000 0.500 0.000 x2

Summary:
Its volume is 16.1 Å³/atom.

Density functional theory data (PBE-GGA) for a relaxed GeBNO2 crystal.

Unit cell a=3.631 b=3.631 c=3.984 alpha=90.00 beta=90.00 gamma=90.00
Space group P4/mmm (No. 123)
Unique sites:
Ge: 0.000 0.000 0.000 x1
B: 0.500 0.500 0.500 x1
N: 0.000 0.000 0.500 x1
O: 0.000 0.500 0.000 x2

Summary:
Its volume is 10.5 Å³/atom.

It is found that the uncorrected formation energy values, taken in the order of the records, are 2.82; 0.36; 2.27; 1.59; 1.80; 1.33; 0.26; 2.48; 0.34; -0.14; 1.24; 0.92 eV/atom.
It is found that the VASP energy values, taken in the order of the records, are -3.78; -6.73; -4.31; -5.66; -4.79; -4.44; -6.32; -4.78; -5.67; -6.05; -4.67; -4.99 eV per atom.